First-principles (PBE-GGA) data for a geometry-optimized Ca9Pb3O2 structure, as listed in the Alexandria database.

Properties
**Crystal system**: trigonal
**E_form (uncorrected)**: -28.072 kcal/mol of atoms

Cell: 6.997 6.997 8.572 Å, 90.00 90.00 120.00°
Element x y z (fractional)
Ca: 0.000 0.500 0.000
Ca: 0.171 0.341 0.673
Ca: 0.171 0.829 0.673
Ca: 0.341 0.171 0.327
Ca: 0.500 0.000 0.000
Ca: 0.500 0.500 0.000
Ca: 0.659 0.829 0.673
Ca: 0.829 0.171 0.327
Ca: 0.829 0.659 0.327
Pb: 0.000 0.000 0.000
Pb: 0.333 0.667 0.333
Pb: 0.667 0.333 0.667
O: 0.333 0.667 0.836
O: 0.667 0.333 0.164

First-principles (PBE-GGA) data for a geometry-optimized RbYBrF2 structure, as listed in the Alexandria database.

Properties
**Crystal system**: tetragonal
**E_form (uncorrected)**: -58.991 kcal/mol of atoms

Cell: 4.517 4.517 7.041 Å, 90.00 90.00 90.00°
Element x y z (fractional)
Rb: 0.000 0.000 0.000
Y: 0.500 0.500 0.500
Br: 0.500 0.500 0.000
F: 0.000 0.500 0.500
F: 0.500 0.000 0.500

First-principles (PBE-GGA) data for a geometry-optimized LaNdErCd structure, as listed in the Alexandria database.

Properties
**Crystal system**: cubic
**E above lowest polymorph**: 0.0825 eV/atom
**Formation energy from the elements**: -0.060 eV per atom

Cell: 7.912 7.912 7.912 Å, 90.00 90.00 90.00°
Element x y z (fractional)
La: 0.000 0.000 0.000
La: 0.000 0.500 0.500
La: 0.500 0.000 0.500
La: 0.500 0.500 0.000
Nd: 0.000 0.000 0.500
Nd: 0.000 0.500 0.000
Nd: 0.500 0.000 0.000
Nd: 0.500 0.500 0.500
Er: 0.250 0.250 0.250
Er: 0.250 0.750 0.750
Er: 0.750 0.250 0.750
Er: 0.750 0.750 0.250
Cd: 0.250 0.250 0.750
Cd: 0.250 0.750 0.250
Cd: 0.750 0.250 0.250
Cd: 0.750 0.750 0.750